VASP calculation (GGA-PBE) on an optimized crystal structure of Tb2Sm4YHo2.

formation energy: 0.02 eV/atom
energy: -4.844 eV/atom
SG: No. 12

extended XYZ file:
```
9
Lattice="5.0671 0.0000 0.0000 -2.5336 7.6116 0.0035 0.0000 -2.5446 7.5987" Properties=species:S:1:pos:R:3 pbc="T T T"
Tb 2.5336 5.0700 2.5247
Tb 0.0000 -0.0029 5.0775
Sm 2.5336 2.5226 5.0741
Sm 0.0000 2.5444 2.5280
Sm 2.5336 -0.0104 2.5295
Sm 0.0000 5.0774 5.0726
Y 0.0000 0.0000 0.0000
Ho 0.0000 5.0639 0.0041
Ho 2.5336 0.0031 7.5980
```